# CaScAs2, single point on PBEsol structure, DFT SCAN
data_CaScAs2
_chemical_formula_sum 'Ca1 Sc1 As2'
_cell_length_a 7.086
_cell_length_b 7.086
_cell_length_c 7.086
_cell_angle_alpha 32.31
_cell_angle_beta 32.31
_cell_angle_gamma 32.31
_space_group_name_H-M_alt 'P 1'
_space_group_IT_number 1
_space_group_name_Hall 'P 1'
loop_
_atom_site_label
_atom_site_type_symbol
_atom_site_fract_x
_atom_site_fract_y
_atom_site_fract_z
_atom_site_occupancy
Ca1 Ca 0.000 0.000 0.000 1
Sc1 Sc 0.500 0.500 0.500 1
As1 As 0.241 0.241 0.241 1
As2 As 0.759 0.759 0.759 1
# calculated formation energy: -1254.2 meV/atom
# offset from the most stable computed form: 0 meV/atom
# V: 22.6 Å³/atom
# total magnetization: 0.0 μB per formula unit
# D(E_F): 2.2 states/eV/cell



# Ca2As2Se, single point on PBEsol structure, DFT SCAN
data_Ca2As2Se
_chemical_formula_sum 'Ca2 As2 Se1'
_cell_length_a 8.380
_cell_length_b 8.380
_cell_length_c 8.380
_cell_angle_alpha 153.80
_cell_angle_beta 153.80
_cell_angle_gamma 37.39
_space_group_name_H-M_alt 'P 1'
_space_group_IT_number 1
_space_group_name_Hall 'P 1'
loop_
_atom_site_label
_atom_site_type_symbol
_atom_site_fract_x
_atom_site_fract_y
_atom_site_fract_z
_atom_site_occupancy
Ca1 Ca 0.103 0.103 0.000 1
Ca2 Ca 0.897 0.897 0.000 1
As1 As 0.250 0.750 0.500 1
As2 As 0.750 0.250 0.500 1
Se1 Se 0.500 0.500 0.000 1
# electronic total energy: -17.25 eV per atom
# V: 22.9 Å³/atom
# total magnetization: 0.0 μB per formula unit
# D(E_F): 1.3 states/eV/cell



# CaZrAsSe2, single point on PBEsol structure, DFT SCAN
data_CaZrAsSe2
_chemical_formula_sum 'Ca1 Zr1 As1 Se2'
_cell_length_a 5.148
_cell_length_b 5.148
_cell_length_c 5.144
_cell_angle_alpha 90.00
_cell_angle_beta 90.00
_cell_angle_gamma 90.00
_space_group_name_H-M_alt 'P 1'
_space_group_IT_number 1
_space_group_name_Hall 'P 1'
loop_
_atom_site_label
_atom_site_type_symbol
_atom_site_fract_x
_atom_site_fract_y
_atom_site_fract_z
_atom_site_occupancy
Ca1 Ca 0.000 0.000 0.000 1
Zr1 Zr 0.500 0.500 0.500 1
As1 As 0.500 0.500 0.000 1
Se1 Se 0.000 0.500 0.500 1
Se2 Se 0.500 0.000 0.500 1
# electronic total energy: -21.18 eV per atom
# V: 27.3 Å³/atom
# total magnetization: 0.0 μB per formula unit
# D(E_F): 2.7 states/eV/cell



# Ca2SiAs, single point on PBEsol structure, DFT SCAN
data_Ca2SiAs
_chemical_formula_sum 'Ca2 Si1 As1'
_cell_length_a 6.091
_cell_length_b 6.091
_cell_length_c 6.091
_cell_angle_alpha 144.75
_cell_angle_beta 135.85
_cell_angle_gamma 57.72
_space_group_name_H-M_alt 'P 1'
_space_group_IT_number 1
_space_group_name_Hall 'P 1'
loop_
_atom_site_label
_atom_site_type_symbol
_atom_site_fract_x
_atom_site_fract_y
_atom_site_fract_z
_atom_site_occupancy
Ca1 Ca 0.000 0.000 0.000 1
Ca2 Ca 0.732 0.232 0.500 1
Si1 Si 0.451 0.451 0.000 1
As1 As 0.278 0.778 0.500 1
# electronic total energy: -12.99 eV per atom
# V: 22.5 Å³/atom
# total magnetization: 0.0 μB per formula unit
# D(E_F): 1.5 states/eV/cell



# CaSn2As2, single point on PBEsol structure, DFT SCAN
data_CaSn2As2
_chemical_formula_sum 'Ca1 Sn2 As2'
_cell_length_a 7.970
_cell_length_b 7.970
_cell_length_c 7.970
_cell_angle_alpha 149.73
_cell_angle_beta 149.73
_cell_angle_gamma 43.34
_space_group_name_H-M_alt 'P 1'
_space_group_IT_number 1
_space_group_name_Hall 'P 1'
loop_
_atom_site_label
_atom_site_type_symbol
_atom_site_fract_x
_atom_site_fract_y
_atom_site_fract_z
_atom_site_occupancy
Ca1 Ca 0.000 0.000 0.000 1
Sn1 Sn 0.392 0.392 0.000 1
Sn2 Sn 0.608 0.608 0.000 1
As1 As 0.250 0.750 0.500 1
As2 As 0.750 0.250 0.500 1
# calculated formation energy: -16.6 meV/atom
# V: 25.7 Å³/atom
# total magnetization: 0.0 μB per formula unit
# D(E_F): 2.6 states/eV/cell



# SrCaAs, single point on PBEsol structure, DFT SCAN
data_SrCaAs
_chemical_formula_sum 'Sr1 Ca1 As1'
_cell_length_a 5.055
_cell_length_b 5.055
_cell_length_c 5.055
_cell_angle_alpha 60.00
_cell_angle_beta 60.00
_cell_angle_gamma 60.00
_space_group_name_H-M_alt 'P 1'
_space_group_IT_number 1
_space_group_name_Hall 'P 1'
loop_
_atom_site_label
_atom_site_type_symbol
_atom_site_fract_x
_atom_site_fract_y
_atom_site_fract_z
_atom_site_occupancy
Sr1 Sr 0.000 0.000 0.000 1
Ca1 Ca 0.500 0.500 0.500 1
As1 As 0.250 0.250 0.250 1
# calculated formation energy: -1006.4 meV/atom
# V: 30.5 Å³/atom
# total magnetization: 0.0 μB per formula unit
# D(E_F): 1.2 states/eV/cell



# Sr3CaAs, single point on PBEsol structure, DFT SCAN
data_Sr3CaAs
_chemical_formula_sum 'Sr3 Ca1 As1'
_cell_length_a 6.053
_cell_length_b 6.053
_cell_length_c 6.053
_cell_angle_alpha 90.00
_cell_angle_beta 90.00
_cell_angle_gamma 90.00
_space_group_name_H-M_alt 'P 1'
_space_group_IT_number 1
_space_group_name_Hall 'P 1'
loop_
_atom_site_label
_atom_site_type_symbol
_atom_site_fract_x
_atom_site_fract_y
_atom_site_fract_z
_atom_site_occupancy
Sr1 Sr 0.000 0.000 0.500 1
Sr2 Sr 0.000 0.500 0.000 1
Sr3 Sr 0.500 0.000 0.000 1
Ca1 Ca 0.500 0.500 0.500 1
As1 As 0.000 0.000 0.000 1
# calculated formation energy: -543.4 meV/atom
# V: 44.4 Å³/atom
# total magnetization: 1.3 μB per formula unit
# D(E_F): 3.0 states/eV/cell



# CaTa2As2, single point on PBEsol structure, DFT SCAN
data_CaTa2As2
_chemical_formula_sum 'Ca1 Ta2 As2'
_cell_length_a 5.546
_cell_length_b 5.546
_cell_length_c 5.546
_cell_angle_alpha 127.58
_cell_angle_beta 127.58
_cell_angle_gamma 77.30
_space_group_name_H-M_alt 'P 1'
_space_group_IT_number 1
_space_group_name_Hall 'P 1'
loop_
_atom_site_label
_atom_site_type_symbol
_atom_site_fract_x
_atom_site_fract_y
_atom_site_fract_z
_atom_site_occupancy
Ca1 Ca 0.000 0.000 0.000 1
Ta1 Ta 0.356 0.356 0.000 1
Ta2 Ta 0.644 0.644 0.000 1
As1 As 0.250 0.750 0.500 1
As2 As 0.750 0.250 0.500 1
# calculated formation energy: -261.7 meV/atom
# V: 20.8 Å³/atom
# total magnetization: 0.0 μB per formula unit
# D(E_F): 0.6 states/eV/cell



# CaTa3As, single point on PBEsol structure, DFT SCAN
data_CaTa3As
_chemical_formula_sum 'Ca1 Ta3 As1'
_cell_length_a 4.671
_cell_length_b 4.671
_cell_length_c 4.671
_cell_angle_alpha 90.00
_cell_angle_beta 90.00
_cell_angle_gamma 90.00
_space_group_name_H-M_alt 'P 1'
_space_group_IT_number 1
_space_group_name_Hall 'P 1'
loop_
_atom_site_label
_atom_site_type_symbol
_atom_site_fract_x
_atom_site_fract_y
_atom_site_fract_z
_atom_site_occupancy
Ca1 Ca 0.000 0.000 0.000 1
Ta1 Ta 0.000 0.000 0.500 1
Ta2 Ta 0.000 0.500 0.000 1
Ta3 Ta 0.500 0.000 0.000 1
As1 As 0.500 0.500 0.500 1
# calculated formation energy: 2730.1 meV/atom
# V: 20.4 Å³/atom
# total magnetization: 0.0 μB per formula unit
# D(E_F): 3.8 states/eV/cell



# Ca2TcTeAs, single point on PBEsol structure, DFT SCAN
data_Ca2TcTeAs
_chemical_formula_sum 'Ca2 Tc1 Te1 As1'
_cell_length_a 5.387
_cell_length_b 5.387
_cell_length_c 4.859
_cell_angle_alpha 90.00
_cell_angle_beta 90.00
_cell_angle_gamma 90.00
_space_group_name_H-M_alt 'P 1'
_space_group_IT_number 1
_space_group_name_Hall 'P 1'
loop_
_atom_site_label
_atom_site_type_symbol
_atom_site_fract_x
_atom_site_fract_y
_atom_site_fract_z
_atom_site_occupancy
Ca1 Ca 0.000 0.500 0.000 1
Ca2 Ca 0.500 0.000 0.000 1
Tc1 Tc 0.000 0.000 0.000 1
Te1 Te 0.000 0.000 0.500 1
As1 As 0.500 0.500 0.500 1
# electronic total energy: -22.24 eV per atom
# V: 28.2 Å³/atom
# total magnetization: 0.6 μB per formula unit
# D(E_F): 4.1 states/eV/cell



# Ca3TeAs, single point on PBEsol structure, DFT SCAN
data_Ca3TeAs
_chemical_formula_sum 'Ca3 Te1 As1'
_cell_length_a 5.662
_cell_length_b 5.662
_cell_length_c 5.662
_cell_angle_alpha 90.00
_cell_angle_beta 90.00
_cell_angle_gamma 90.00
_space_group_name_H-M_alt 'P 1'
_space_group_IT_number 1
_space_group_name_Hall 'P 1'
loop_
_atom_site_label
_atom_site_type_symbol
_atom_site_fract_x
_atom_site_fract_y
_atom_site_fract_z
_atom_site_occupancy
Ca1 Ca 0.000 0.000 0.500 1
Ca2 Ca 0.000 0.500 0.000 1
Ca3 Ca 0.500 0.000 0.000 1
Te1 Te 0.000 0.000 0.000 1
As1 As 0.500 0.500 0.500 1
# electronic total energy: -17.77 eV per atom
# V: 36.3 Å³/atom
# total magnetization: 0.9 μB per formula unit
# D(E_F): 3.3 states/eV/cell



# CaTeAs, single point on PBEsol structure, DFT SCAN
data_CaTeAs
_chemical_formula_sum 'Ca1 Te1 As1'
_cell_length_a 4.968
_cell_length_b 4.968
_cell_length_c 4.968
_cell_angle_alpha 60.00
_cell_angle_beta 60.00
_cell_angle_gamma 60.00
_space_group_name_H-M_alt 'P 1'
_space_group_IT_number 1
_space_group_name_Hall 'P 1'
loop_
_atom_site_label
_atom_site_type_symbol
_atom_site_fract_x
_atom_site_fract_y
_atom_site_fract_z
_atom_site_occupancy
Ca1 Ca 0.000 0.000 0.000 1
Te1 Te 0.250 0.250 0.250 1
As1 As 0.750 0.750 0.750 1
# electronic total energy: -22.81 eV per atom
# V: 28.9 Å³/atom
# total magnetization: 0.0 μB per formula unit
# D(E_F): 2.0 states/eV/cell



# Ca2TeAs2, single point on PBEsol structure, DFT SCAN
data_Ca2TeAs2
_chemical_formula_sum 'Ca2 Te1 As2'
_cell_length_a 8.591
_cell_length_b 8.591
_cell_length_c 8.591
_cell_angle_alpha 153.72
_cell_angle_beta 153.72
_cell_angle_gamma 37.51
_space_group_name_H-M_alt 'P 1'
_space_group_IT_number 1
_space_group_name_Hall 'P 1'
loop_
_atom_site_label
_atom_site_type_symbol
_atom_site_fract_x
_atom_site_fract_y
_atom_site_fract_z
_atom_site_occupancy
Ca1 Ca 0.108 0.108 0.000 1
Ca2 Ca 0.892 0.892 0.000 1
Te1 Te 0.500 0.500 0.000 1
As1 As 0.250 0.750 0.500 1
As2 As 0.750 0.250 0.500 1
# electronic total energy: -20.54 eV per atom
# V: 24.8 Å³/atom
# total magnetization: 0.0 μB per formula unit
# D(E_F): 1.4 states/eV/cell



# Ca2TeAs, single point on PBEsol structure, DFT SCAN
data_Ca2TeAs
_chemical_formula_sum 'Ca2 Te1 As1'
_cell_length_a 5.252
_cell_length_b 5.252
_cell_length_c 5.252
_cell_angle_alpha 60.00
_cell_angle_beta 60.00
_cell_angle_gamma 60.00
_space_group_name_H-M_alt 'P 1'
_space_group_IT_number 1
_space_group_name_Hall 'P 1'
loop_
_atom_site_label
_atom_site_type_symbol
_atom_site_fract_x
_atom_site_fract_y
_atom_site_fract_z
_atom_site_occupancy
Ca1 Ca 0.000 0.000 0.000 1
Ca2 Ca 0.250 0.250 0.250 1
Te1 Te 0.500 0.500 0.500 1
As1 As 0.750 0.750 0.750 1
# electronic total energy: -19.66 eV per atom
# V: 25.6 Å³/atom
# total magnetization: 0.0 μB per formula unit
# D(E_F): 3.6 states/eV/cell



# CaTeAs, single point on PBEsol structure, DFT SCAN
data_CaTeAs
_chemical_formula_sum 'Ca1 Te1 As1'
_cell_length_a 3.418
_cell_length_b 3.418
_cell_length_c 7.997
_cell_angle_alpha 90.00
_cell_angle_beta 90.00
_cell_angle_gamma 120.00
_space_group_name_H-M_alt 'P 1'
_space_group_IT_number 1
_space_group_name_Hall 'P 1'
loop_
_atom_site_label
_atom_site_type_symbol
_atom_site_fract_x
_atom_site_fract_y
_atom_site_fract_z
_atom_site_occupancy
Ca1 Ca 0.000 0.000 0.000 1
Te1 Te 0.333 0.667 0.688 1
As1 As 0.667 0.333 0.277 1
# electronic total energy: -22.60 eV per atom
# V: 27.0 Å³/atom
# total magnetization: 0.0 μB per formula unit
# D(E_F): 1.2 states/eV/cell